Compound: ThMg2Tl
Source: Alexandria
Functional: PBE
Structure: optimized geometry

Cell and atoms, written as CIF:
```
data_ThMg2Tl
_chemical_formula_sum 'Th1 Mg2 Tl1'
_cell_length_a 3.6160
_cell_length_b 3.6160
_cell_length_c 8.0240
_cell_angle_alpha 90.00
_cell_angle_beta 90.00
_cell_angle_gamma 90.00
_symmetry_space_group_name_H-M 'P 4/m m m'
_symmetry_Int_Tables_number 123
_symmetry_space_group_name_Hall '-P 4 2'
loop_
_atom_site_label
_atom_site_fract_x
_atom_site_fract_y
_atom_site_fract_z
Th1 0.0000 0.0000 0.0000
Mg1 0.5000 0.5000 0.2824
Tl1 0.0000 0.0000 0.5000
```

The energy relative to the elements comes out at 0.00 eV/atom. For the size of the total moment, the calculation gives 0.00 Bohr magnetons per cell. The value obtained for the density is 7.7 g cm⁻³. The calculation puts the offset from the most stable computed form at 7.31 kJ/mol of atoms.



Compound: Ba3B2O8
Source: Alexandria
Functional: PBE
Structure: optimized geometry

Cell and atoms, written as CIF:
```
data_Ba3B2O8
_chemical_formula_sum 'Ba9 B6 O24'
_cell_length_a 5.6314
_cell_length_b 5.6314
_cell_length_c 20.8322
_cell_angle_alpha 90.00
_cell_angle_beta 90.00
_cell_angle_gamma 120.00
_symmetry_space_group_name_H-M 'R -3 m'
_symmetry_Int_Tables_number 166
_symmetry_space_group_name_Hall '-R 3 2"'
loop_
_atom_site_label
_atom_site_fract_x
_atom_site_fract_y
_atom_site_fract_z
Ba1 0.0000 0.0000 0.0000
Ba2 0.0000 0.0000 0.2100
B1 0.0000 0.0000 0.4140
O1 0.0000 0.0000 0.3434
O2 0.0435 0.5218 0.2339
```

For the size of the total moment, the calculation gives 12.01 Bohr magnetons per cell. The value obtained for the density is 4.9 g cm⁻³. The value obtained for the raw formation energy is -2.11 eV per atom.



Compound: LiTa2Cr
Source: Alexandria
Functional: PBE
Structure: optimized geometry

Cell and atoms, written as CIF:
```
data_LiTa2Cr
_chemical_formula_sum 'Li1 Ta2 Cr1'
_cell_length_a 2.8157
_cell_length_b 2.8157
_cell_length_c 8.7542
_cell_angle_alpha 90.00
_cell_angle_beta 90.00
_cell_angle_gamma 90.00
_symmetry_space_group_name_H-M 'P 4/m m m'
_symmetry_Int_Tables_number 123
_symmetry_space_group_name_Hall '-P 4 2'
loop_
_atom_site_label
_atom_site_fract_x
_atom_site_fract_y
_atom_site_fract_z
Li1 0.0000 0.0000 0.0000
Ta1 0.5000 0.5000 0.2870
Cr1 0.0000 0.0000 0.5000
```

The energy relative to the elements comes out at 0.41 eV/atom. For the size of the total moment, the calculation gives 2.30 Bohr magnetons per cell. The value obtained for the density is 10.1 g cm⁻³. The calculation puts the offset from the most stable computed form at 15.96 kJ/mol of atoms.



Compound: LiAg2Rh
Source: Alexandria
Functional: PBE
Structure: optimized geometry

Cell and atoms, written as CIF:
```
data_LiAg2Rh
_chemical_formula_sum 'Li2 Ag4 Rh2'
_cell_length_a 5.7293
_cell_length_b 7.8335
_cell_length_c 2.8142
_cell_angle_alpha 90.00
_cell_angle_beta 90.00
_cell_angle_gamma 90.00
_symmetry_space_group_name_H-M 'C m m m'
_symmetry_Int_Tables_number 65
_symmetry_space_group_name_Hall '-C 2 2'
loop_
_atom_site_label
_atom_site_fract_x
_atom_site_fract_y
_atom_site_fract_z
Li1 0.0000 0.0000 0.0000
Ag1 0.2500 0.2500 0.5000
Rh1 0.0000 0.5000 0.0000
```

The energy relative to the elements comes out at -0.03 eV/atom. For the size of the total moment, the calculation gives 0.00 Bohr magnetons per cell. The value obtained for the density is 8.6 g cm⁻³.